First-principles (GGA-PBE) data for a relaxed structure of TmSc2Ta, as listed in Alexandria via LeMat-Bulk.

DFT formation energy = 0.192 eV/atom
crystal system = trigonal
VASP energy = -7.0549 eV/atom

a b c (Å): 3.1807 3.1807 32.0185
angles (deg): 90.00 90.00 120.00
Space group R-3m (No. 166, hexagonal axes)
Asymmetric unit:
Tm 0.0000 0.0000 0.0000 [3 per cell]
Sc 0.0000 0.0000 0.2419 [6 per cell]
Ta 0.0000 0.0000 0.5000 [3 per cell]

---

First-principles (GGA-PBE) data for a relaxed structure of ScUTa, as listed in Alexandria via LeMat-Bulk.

DFT formation energy = 0.455 eV/atom
crystal system = orthorhombic
VASP energy = -9.3693 eV/atom

a b c (Å): 2.884 5.177 8.619
angles (deg): 90.00 90.00 90.00
Space group Pmmn (No. 59, origin choice 2)
Asymmetric unit:
Sc 0.250 0.250 0.080 [2 per cell]
U 0.250 0.750 0.255 [2 per cell]
Ta 0.250 0.250 0.443 [2 per cell]